Entry 1:
PBE HoScMnRu, optimized geometry; ΔH_f (0 K) = -0.1487 eV per atom; space group = F-43m
1.0
4.743 0.000 0.000
2.371 4.107 0.000
2.371 1.369 3.872
Sc Ru Mn Ho
1 1 1 1
direct
0.500 0.500 0.500 Sc
0.250 0.250 0.250 Ru
0.750 0.750 0.750 Mn
0.000 0.000 0.000 Ho

Entry 2:
PBE HoMnSi2Ru, optimized geometry; space group = I-4m2; ΔE_f (raw) = -0.7717 eV per atom
1.0
3.989 0.000 0.000
0.000 3.989 0.000
-1.994 -1.994 5.102
Ho Mn Si Ru
1 1 2 1
direct
0.000 0.000 0.000 Ho
0.750 0.250 0.500 Mn
0.620 0.620 0.239 Si
0.380 0.380 0.761 Si
0.250 0.750 0.500 Ru

Entry 3:
PBE TbHoMnRu, optimized geometry; ΔH_f (0 K) = -0.0755 eV per atom; space group = F-43m
1.0
-4.630 -0.508 -1.536
-1.525 -4.295 -1.812
-3.143 -2.763 2.557
Ru Mn Tb Ho
1 1 1 1
direct
0.250 0.250 0.250 Ru
0.750 0.750 0.750 Mn
0.500 0.500 0.500 Tb
0.000 0.000 0.000 Ho

What did the third record say?
PBE TbHoMnRu, optimized geometry; ΔH_f (0 K) = -0.0755 eV per atom; space group = F-43m
1.0
-4.630 -0.508 -1.536
-1.525 -4.295 -1.812
-3.143 -2.763 2.557
Ru Mn Tb Ho
1 1 1 1
direct
0.250 0.250 0.250 Ru
0.750 0.750 0.750 Mn
0.500 0.500 0.500 Tb
0.000 0.000 0.000 Ho